No. 1
DFT (PBE) results for crystalline CrOsCl2 at its relaxed geometry.

Output
Formation energy from raw total energies = 0.01 eV/atom
Excess energy over the best structure of this formula in the dataset = 0.074 eV per atom

Cell: 3.3161 3.3161 26.0478 Å, 90.00 90.00 120.00°
Space group R3m (No. 160, hexagonal axes)
Unique sites:
Cr: 0.0000 0.0000 0.0000 (multiplicity 3)
Os: 0.0000 0.0000 0.7185 (multiplicity 3)
Cl: 0.0000 0.0000 0.2691 (multiplicity 3)
Cl: 0.0000 0.0000 0.4583 (multiplicity 3)

No. 2
DFT (PBE) results for crystalline CrOsCl2 at its relaxed geometry.

Output
Formation energy from raw total energies = 0.48 eV/atom
Excess energy over the best structure of this formula in the dataset = 0.550 eV per atom

Cell: 2.9662 4.3704 13.4557 Å, 90.00 90.00 90.00°
Space group Immm (No. 71)
Unique sites:
Cr: 0.0000 0.0000 0.0000 (multiplicity 2)
Os: 0.0000 0.0000 0.5000 (multiplicity 2)
Cl: 0.0000 0.5000 0.3638 (multiplicity 4)